[1]
# Ho2Tm3Mg (GGA-PBE, optimized geometry)
data_Ho2Tm3Mg
_chemical_formula_sum 'Ho8 Tm12 Mg4'
_cell_length_a 22.7558
_cell_length_b 3.4243
_cell_length_c 9.8318
_cell_angle_alpha 90.00
_cell_angle_beta 108.75
_cell_angle_gamma 90.00
_symmetry_space_group_name_H-M 'C 1 2/m 1'
_symmetry_Int_Tables_number 12
_symmetry_space_group_name_Hall '-C 2y'
loop_
_atom_site_label
_atom_site_fract_x
_atom_site_fract_y
_atom_site_fract_z
_atom_site_occupancy
Ho1 0.0713 0.0000 0.1310 1
Ho2 0.1922 0.5000 0.3763 1
Tm1 0.0578 0.5000 0.4378 1
Tm2 0.0716 0.0000 0.7651 1
Tm3 0.1985 0.5000 0.7260 1
Mg1 0.1862 0.5000 0.0372 1
# - E (eV/f.u.) = -23.416
# - formation enthalpy at 0 K (eV per atom) = 0.12

=====

[2]
# MnRhPb2 (GGA-PBE, optimized geometry)
data_MnRhPb2
_chemical_formula_sum 'Mn2 Rh2 Pb4'
_cell_length_a 4.1435
_cell_length_b 4.1435
_cell_length_c 9.5501
_cell_angle_alpha 90.00
_cell_angle_beta 90.00
_cell_angle_gamma 90.00
_symmetry_space_group_name_H-M 'I -4 m 2'
_symmetry_Int_Tables_number 119
_symmetry_space_group_name_Hall 'I -4 -2'
loop_
_atom_site_label
_atom_site_fract_x
_atom_site_fract_y
_atom_site_fract_z
_atom_site_occupancy
Mn1 0.0000 0.0000 0.0000 1
Rh1 0.0000 0.5000 0.2500 1
Pb1 0.0000 0.0000 0.5000 1
Pb2 0.0000 0.5000 0.7500 1
# - E (eV/f.u.) = -22.732
# - formation enthalpy at 0 K (eV per atom) = 0.30

=====

[3]
# Er3Th3Sc2 (GGA-PBE, optimized geometry)
data_Er3Th3Sc2
_chemical_formula_sum 'Er3 Th3 Sc2'
_cell_length_a 4.8592
_cell_length_b 4.9264
_cell_length_c 9.9219
_cell_angle_alpha 90.00
_cell_angle_beta 90.00
_cell_angle_gamma 90.00
_symmetry_space_group_name_H-M 'P m m m'
_symmetry_Int_Tables_number 47
_symmetry_space_group_name_Hall '-P 2 2'
loop_
_atom_site_label
_atom_site_fract_x
_atom_site_fract_y
_atom_site_fract_z
_atom_site_occupancy
Er1 0.0000 0.0000 0.0000 1
Er2 0.0000 0.0000 0.5000 1
Er3 0.5000 0.5000 0.0000 1
Th1 0.5000 0.0000 0.2474 1
Th2 0.5000 0.5000 0.5000 1
Sc1 0.0000 0.5000 0.2517 1
# - E (eV/f.u.) = -48.310
# - formation enthalpy at 0 K (eV per atom) = 0.04

=====

[4]
# Na3TbSm2Se6 (GGA-PBE, optimized geometry)
data_Na3TbSm2Se6
_chemical_formula_sum 'Na6 Tb2 Sm4 Se12'
_cell_length_a 7.2912
_cell_length_b 12.6293
_cell_length_c 7.4241
_cell_angle_alpha 90.00
_cell_angle_beta 109.12
_cell_angle_gamma 90.00
_symmetry_space_group_name_H-M 'C 1 2/m 1'
_symmetry_Int_Tables_number 12
_symmetry_space_group_name_Hall '-C 2y'
loop_
_atom_site_label
_atom_site_fract_x
_atom_site_fract_y
_atom_site_fract_z
_atom_site_occupancy
Na1 0.0000 0.0000 0.0000 1
Na2 0.0000 0.3328 0.0000 1
Tb1 0.0000 0.5000 0.5000 1
Sm1 0.0000 0.1666 0.5000 1
Se1 0.2422 0.3353 0.7327 1
Se2 0.2482 0.0000 0.7324 1
# - E (eV/f.u.) = -59.319
# - formation energy from raw total energies (eV/atom) = -1.70

=====

[5]
# Mg2Zn2Au (GGA-PBE, optimized geometry)
data_Mg2Zn2Au
_chemical_formula_sum 'Mg4 Zn4 Au2'
_cell_length_a 6.8201
_cell_length_b 6.8201
_cell_length_c 3.9142
_cell_angle_alpha 90.00
_cell_angle_beta 90.00
_cell_angle_gamma 90.00
_symmetry_space_group_name_H-M 'P 4/m b m'
_symmetry_Int_Tables_number 127
_symmetry_space_group_name_Hall '-P 4 2ab'
loop_
_atom_site_label
_atom_site_fract_x
_atom_site_fract_y
_atom_site_fract_z
_atom_site_occupancy
Mg1 0.1712 0.3288 0.0000 1
Zn1 0.1299 0.6299 0.5000 1
Au1 0.0000 0.0000 0.5000 1
# - E (eV/f.u.) = -10.095
# - formation enthalpy at 0 K (eV per atom) = -0.22

=====

[6]
# RbNaTe2I (GGA-PBE, optimized geometry)
data_RbNaTe2I
_chemical_formula_sum 'Rb1 Na1 Te2 I1'
_cell_length_a 5.6746
_cell_length_b 5.6746
_cell_length_c 6.5213
_cell_angle_alpha 90.00
_cell_angle_beta 90.00
_cell_angle_gamma 90.00
_symmetry_space_group_name_H-M 'P 4/m m m'
_symmetry_Int_Tables_number 123
_symmetry_space_group_name_Hall '-P 4 2'
loop_
_atom_site_label
_atom_site_fract_x
_atom_site_fract_y
_atom_site_fract_z
_atom_site_occupancy
Rb1 0.0000 0.0000 0.0000 1
Na1 0.5000 0.5000 0.5000 1
Te1 0.0000 0.5000 0.5000 1
I1 0.5000 0.5000 0.0000 1
# - E (eV/f.u.) = -11.795
# - formation energy from raw total energies (eV/atom) = -0.34

=====

[7]
# Zn3Ag2Ir (GGA-PBE, optimized geometry)
data_Zn3Ag2Ir
_chemical_formula_sum 'Zn12 Ag8 Ir4'
_cell_length_a 4.1143
_cell_length_b 12.3354
_cell_length_c 7.2842
_cell_angle_alpha 90.00
_cell_angle_beta 90.00
_cell_angle_gamma 90.00
_symmetry_space_group_name_H-M 'C m m m'
_symmetry_Int_Tables_number 65
_symmetry_space_group_name_Hall '-C 2 2'
loop_
_atom_site_label
_atom_site_fract_x
_atom_site_fract_y
_atom_site_fract_z
_atom_site_occupancy
Zn1 0.0000 0.0000 0.2365 1
Zn2 0.0000 0.3282 0.2330 1
Ag1 0.0000 0.1645 0.5000 1
Ag2 0.0000 0.5000 0.0000 1
Ag3 0.0000 0.5000 0.5000 1
Ir1 0.0000 0.1648 0.0000 1
# - E (eV/f.u.) = -18.901
# - formation enthalpy at 0 K (eV per atom) = -0.09

=====

[8]
# TaNbMo3 (GGA-PBE, optimized geometry)
data_TaNbMo3
_chemical_formula_sum 'Ta6 Nb6 Mo18'
_cell_length_a 5.6387
_cell_length_b 5.6387
_cell_length_c 19.4131
_cell_angle_alpha 90.00
_cell_angle_beta 90.00
_cell_angle_gamma 120.00
_symmetry_space_group_name_H-M 'R -3 m'
_symmetry_Int_Tables_number 166
_symmetry_space_group_name_Hall '-R 3 2"'
loop_
_atom_site_label
_atom_site_fract_x
_atom_site_fract_y
_atom_site_fract_z
_atom_site_occupancy
Ta1 0.0000 0.0000 0.0776 1
Nb1 0.0000 0.0000 0.3382 1
Mo1 0.0097 0.5048 0.8842 1
# - E (eV/f.u.) = -52.256
# - formation enthalpy at 0 K (eV per atom) = 0.43

=====

[9]
# Cu2Au (GGA-PBE, optimized geometry)
data_Cu2Au
_chemical_formula_sum 'Cu8 Au4'
_cell_length_a 3.2945
_cell_length_b 3.2945
_cell_length_c 17.1921
_cell_angle_alpha 90.00
_cell_angle_beta 90.00
_cell_angle_gamma 90.00
_symmetry_space_group_name_H-M 'I 41/a m d'
_symmetry_Int_Tables_number 141
loop_
_symmetry_equiv_pos_as_xyz
'x,y,z'
'-x,-y,-z'
'-y+1/4,x+3/4,z+1/4'
'y+1/4,-x+3/4,-z+1/4'
'-x+1/2,-y,z+1/2'
'x+1/2,y,-z+1/2'
'y+1/4,-x+1/4,z+3/4'
'-y+1/4,x+1/4,-z+3/4'
'x,-y,-z'
'-x,y,z'
'-y+1/4,-x+1/4,-z+3/4'
'y+1/4,x+1/4,z+3/4'
'-x+1/2,y,-z+1/2'
'x+1/2,-y,z+1/2'
'y+1/4,x+3/4,-z+1/4'
'-y+1/4,-x+3/4,z+1/4'
'x+1/2,y+1/2,z+1/2'
'-x+1/2,-y+1/2,-z+1/2'
'-y+3/4,x+1/4,z+3/4'
'y+3/4,-x+1/4,-z+3/4'
'-x,-y+1/2,z'
'x,y+1/2,-z'
'y+3/4,-x+3/4,z+1/4'
'-y+3/4,x+3/4,-z+1/4'
'x+1/2,-y+1/2,-z+1/2'
'-x+1/2,y+1/2,z+1/2'
'-y+3/4,-x+3/4,-z+1/4'
'y+3/4,x+3/4,z+1/4'
'-x,y+1/2,-z'
'x,-y+1/2,z'
'y+3/4,x+1/4,-z+3/4'
'-y+3/4,-x+1/4,z+3/4'
loop_
_atom_site_label
_atom_site_fract_x
_atom_site_fract_y
_atom_site_fract_z
_atom_site_occupancy
Cu1 0.0000 0.2500 0.3010 1
Au1 0.0000 0.2500 0.8750 1
# - E (eV/f.u.) = -10.824
# - formation enthalpy at 0 K (eV per atom) = 0.22

=====

[10]
# PmPr9In2 (GGA-PBE, optimized geometry)
data_PmPr9In2
_chemical_formula_sum 'Pm1 Pr9 In2'
_cell_length_a 5.0560
_cell_length_b 5.0560
_cell_length_c 15.5404
_cell_angle_alpha 90.00
_cell_angle_beta 90.00
_cell_angle_gamma 90.00
_symmetry_space_group_name_H-M 'P 4/m m m'
_symmetry_Int_Tables_number 123
_symmetry_space_group_name_Hall '-P 4 2'
loop_
_atom_site_label
_atom_site_fract_x
_atom_site_fract_y
_atom_site_fract_z
_atom_site_occupancy
Pm1 0.0000 0.0000 0.0000 1
Pr1 0.0000 0.5000 0.1749 1
Pr2 0.0000 0.5000 0.5000 1
Pr3 0.5000 0.5000 0.0000 1
Pr4 0.5000 0.5000 0.3389 1
In1 0.0000 0.0000 0.3385 1
# - E (eV/f.u.) = -55.310
# - formation enthalpy at 0 K (eV per atom) = -0.17

=====

[11]
# Ca3Au2 (GGA-PBE, optimized geometry)
data_Ca3Au2
_chemical_formula_sum 'Ca3 Au2'
_cell_length_a 5.1063
_cell_length_b 5.1063
_cell_length_c 6.3446
_cell_angle_alpha 90.00
_cell_angle_beta 90.00
_cell_angle_gamma 120.00
_symmetry_space_group_name_H-M 'P -3 m 1'
_symmetry_Int_Tables_number 164
_symmetry_space_group_name_Hall '-P 3 2"'
loop_
_atom_site_label
_atom_site_fract_x
_atom_site_fract_y
_atom_site_fract_z
_atom_site_occupancy
Ca1 0.0000 0.0000 0.0000 1
Ca2 0.3333 0.6667 0.3325 1
Au1 0.3333 0.6667 0.8224 1
# - E (eV/f.u.) = -15.857
# - formation enthalpy at 0 K (eV per atom) = -0.66

=====

[12]
# TbHoZnRu (GGA-PBE, optimized geometry)
data_TbHoZnRu
_chemical_formula_sum 'Tb4 Ho4 Zn4 Ru4'
_cell_length_a 6.9489
_cell_length_b 6.9489
_cell_length_c 6.9489
_cell_angle_alpha 90.00
_cell_angle_beta 90.00
_cell_angle_gamma 90.00
_symmetry_space_group_name_H-M 'F -4 3 m'
_symmetry_Int_Tables_number 216
_symmetry_space_group_name_Hall 'F -4 2 3'
loop_
_atom_site_label
_atom_site_fract_x
_atom_site_fract_y
_atom_site_fract_z
_atom_site_occupancy
Tb1 0.0000 0.0000 0.0000 1
Ho1 0.0000 0.0000 0.5000 1
Zn1 0.2500 0.2500 0.7500 1
Ru1 0.2500 0.2500 0.2500 1
# - E (eV/f.u.) = -21.204
# - formation enthalpy at 0 K (eV per atom) = -0.36